! NaH6CN2ClO2 | Alexandria | PBEsol | optimized geometry; values from VASP
&SYSTEM
  ibrav = 0, nat = 26, ntyp = 6
/
ATOMIC_SPECIES
Na 22.99 Na.upf
H 1.01 H.upf
C 12.01 C.upf
N 14.01 N.upf
Cl 35.45 Cl.upf
O 16.00 O.upf
CELL_PARAMETERS angstrom
9.264 -2.497 0.000
9.264 2.497 0.000
-2.267 0.000 6.108
ATOMIC_POSITIONS crystal
Na 0.002 0.002 0.266
Na 0.998 0.998 0.734
H 0.136 0.221 0.913
H 0.142 0.343 0.374
H 0.327 0.337 0.569
H 0.332 0.197 0.874
H 0.392 0.519 0.959
H 0.473 0.440 0.458
H 0.481 0.608 0.041
H 0.560 0.527 0.542
H 0.657 0.858 0.626
H 0.663 0.673 0.431
H 0.779 0.864 0.087
H 0.803 0.668 0.126
C 0.056 0.620 0.342
C 0.380 0.944 0.658
N 0.177 0.424 0.440
N 0.270 0.140 0.826
N 0.576 0.823 0.560
N 0.860 0.730 0.174
Cl 0.646 0.115 0.873
Cl 0.885 0.354 0.127
O 0.122 0.700 0.406
O 0.300 0.878 0.594
O 0.312 0.688 0.000
O 0.647 0.353 0.500
! * total DFT energy (no corrections): -143.823 eV/cell
! * Fermi-level density of states: 0.0 states/eV/cell

=====

! Ba2MgSb | Alexandria | PBEsol | optimized geometry; values from VASP
&SYSTEM
  ibrav = 0, nat = 8, ntyp = 3
/
ATOMIC_SPECIES
Ba 137.33 Ba.upf
Mg 24.30 Mg.upf
Sb 121.76 Sb.upf
CELL_PARAMETERS angstrom
-4.683 4.683 3.891
4.683 -4.683 3.891
4.683 4.683 -3.891
ATOMIC_POSITIONS crystal
Ba 0.100 0.625 0.975
Ba 0.375 0.350 0.475
Ba 0.650 0.125 0.025
Ba 0.875 0.900 0.525
Mg 0.250 0.750 0.500
Mg 0.500 0.500 0.000
Sb 0.000 0.000 0.000
Sb 0.750 0.250 0.500
! * uncorrected formation energy: -0.268 eV per atom
! * total DFT energy (no corrections): -23.286 eV/cell
! * Fermi-level density of states: 8.4 states/eV/cell

=====

! LiCoAu | Alexandria | PBEsol | optimized geometry; values from VASP
&SYSTEM
  ibrav = 0, nat = 3, ntyp = 3
/
ATOMIC_SPECIES
Li 6.94 Li.upf
Co 58.93 Co.upf
Au 196.97 Au.upf
CELL_PARAMETERS angstrom
-1.324 1.324 5.887
1.324 -1.324 5.887
1.324 1.324 -5.887
ATOMIC_POSITIONS crystal
Li 0.000 0.000 0.000
Co 0.664 0.664 0.000
Au 0.329 0.329 0.000
! * energy of formation: 11.2 kJ per mole of atoms
! * total DFT energy (no corrections): -13.280 eV/cell
! * Fermi-level density of states: 2.8 states/eV/cell